Density functional theory data (PBE) for a relaxed structure of LiBe2Fe.

Properties
size of the total moment = 0.88 Bohr magnetons per cell
space-group type = No. 166
formation energy from the elements = 0.103 eV/atom
Fermi-level density of states = 0.3939 states/eV per atom

a b c (Å): 8.1523 8.1523 8.1523
angles (deg): 17.01 17.01 17.01
Fractional coordinates of all 4 atoms:
Li  0.0000  0.0000  0.0000
Be  0.2436  0.2436  0.2436
Be  0.7564  0.7564  0.7564
Fe  0.5000  0.5000  0.5000

***

Density functional theory data (PBE) for a relaxed structure of Tb2Al3Pt5.

Properties
size of the total moment = 0.00 Bohr magnetons per cell
space-group type = No. 36
formation energy from the elements = -1.103 eV/atom
Fermi-level density of states = 0.3645 states/eV per atom

a b c (Å): 12.6476 12.6476 6.8025
angles (deg): 90.00 90.00 161.00
Fractional coordinates of all 20 atoms:
Tb  0.0249  0.9751  0.5000
Tb  0.3216  0.6784  0.5651
Tb  0.6784  0.3216  0.0651
Tb  0.9751  0.0249  0.0000
Al  0.1265  0.8735  0.7308
Al  0.2853  0.7147  0.1069
Al  0.4544  0.5456  0.6880
Al  0.5456  0.4544  0.1880
Al  0.7147  0.2853  0.6069
Al  0.8735  0.1265  0.2308
Pt  0.0984  0.9016  0.1310
Pt  0.1962  0.8038  0.3790
Pt  0.2252  0.7748  0.8100
Pt  0.3834  0.6166  0.9682
Pt  0.4473  0.5527  0.3174
Pt  0.5527  0.4473  0.8174
Pt  0.6166  0.3834  0.4682
Pt  0.7748  0.2252  0.3100
Pt  0.8038  0.1962  0.8790
Pt  0.9016  0.0984  0.6310

***

Density functional theory data (PBE) for a relaxed structure of KP3.

Properties
size of the total moment = 0.00 Bohr magnetons per cell
space-group type = No. 166
formation energy from the elements = 0.082 eV/atom
Fermi-level density of states = 0.4980 states/eV per atom
energy relative to the lowest polymorph listed for this composition = 184 meV per atom

a b c (Å): 8.1328 8.1328 8.1328
angles (deg): 24.32 24.32 24.32
Fractional coordinates of all 4 atoms:
K  0.0000  0.0000  0.0000
P  0.2236  0.2236  0.2236
P  0.5000  0.5000  0.5000
P  0.7764  0.7764  0.7764

***

Density functional theory data (PBE) for a relaxed structure of AcLa2SmDy4.

Properties
size of the total moment = 0.00 Bohr magnetons per cell
space-group type = No. 12
formation energy from the elements = 0.023 eV/atom
Fermi-level density of states = 1.2460 states/eV per atom

a b c (Å): 7.3356 7.3356 12.5201
angles (deg): 106.94 106.94 60.17
Fractional coordinates of all 16 atoms:
Ac  0.0000  0.0000  0.0000
Ac  0.0000  0.0000  0.5000
La  0.0000  0.5000  0.0000
La  0.5000  0.0000  0.0000
La  0.5000  0.5000  0.0000
La  0.5000  0.5000  0.5000
Sm  0.0000  0.5000  0.5000
Sm  0.5000  0.0000  0.5000
Dy  0.2511  0.2511  0.7498
Dy  0.2516  0.2516  0.2530
Dy  0.2521  0.7462  0.7487
Dy  0.2538  0.7479  0.2513
Dy  0.7462  0.2521  0.7487
Dy  0.7479  0.2538  0.2513
Dy  0.7484  0.7484  0.7470
Dy  0.7489  0.7489  0.2502

***

Density functional theory data (PBE) for a relaxed structure of MgSi3As.

Properties
size of the total moment = 0.00 Bohr magnetons per cell
uncorrected formation energy = 0.894 eV per atom
space-group type = No. 221
Fermi-level density of states = 0.5226 states/eV per atom
energy relative to the lowest polymorph listed for this composition = 0 meV per atom

a b c (Å): 4.7870 4.7870 4.7870
angles (deg): 90.00 90.00 90.00
Fractional coordinates of all 5 atoms:
Mg  0.0000  0.0000  0.0000
Si  0.0000  0.5000  0.5000
Si  0.5000  0.0000  0.5000
Si  0.5000  0.5000  0.0000
As  0.5000  0.5000  0.5000

***

Density functional theory data (PBE) for a relaxed structure of Mg2Cd6Hg.

Properties
size of the total moment = 0.00 Bohr magnetons per cell
space-group type = No. 12
formation energy from the elements = -0.033 eV/atom
Fermi-level density of states = 0.2052 states/eV per atom
energy relative to the lowest polymorph listed for this composition = 12 meV per atom

a b c (Å): 8.8720 8.8720 5.2357
angles (deg): 98.21 98.21 145.39
Fractional coordinates of all 9 atoms:
Mg  0.1721  0.8279  0.0000
Mg  0.8279  0.1721  0.0000
Cd  0.1636  0.1636  0.8345
Cd  0.1674  0.4978  0.6671
Cd  0.4978  0.1674  0.6671
Cd  0.5022  0.8326  0.3329
Cd  0.8326  0.5022  0.3329
Cd  0.8364  0.8364  0.1655
Hg  0.5000  0.5000  0.5000

***

Density functional theory data (PBE) for a relaxed structure of Sm4In3.

Properties
size of the total moment = 0.02 Bohr magnetons per cell
space-group type = No. 148
formation energy from the elements = -0.404 eV/atom
Fermi-level density of states = 1.2938 states/eV per atom
energy relative to the lowest polymorph listed for this composition = 0 meV per atom

a b c (Å): 8.6730 8.6730 8.6730
angles (deg): 113.62 113.62 113.62
Fractional coordinates of all 14 atoms:
Sm  0.0000  0.0000  0.0000
Sm  0.0723  0.7672  0.6220
Sm  0.2328  0.3780  0.9277
Sm  0.3780  0.9277  0.2328
Sm  0.5000  0.5000  0.5000
Sm  0.6220  0.0723  0.7672
Sm  0.7672  0.6220  0.0723
Sm  0.9277  0.2328  0.3780
In  0.1273  0.5296  0.2546
In  0.2546  0.1273  0.5296
In  0.4704  0.7454  0.8727
In  0.5296  0.2546  0.1273
In  0.7454  0.8727  0.4704
In  0.8727  0.4704  0.7454

***

Density functional theory data (PBE) for a relaxed structure of TlAsRhBr2.

Properties
size of the total moment = 0.00 Bohr magnetons per cell
uncorrected formation energy = 0.047 eV per atom
space-group type = No. 123
Fermi-level density of states = 0.7226 states/eV per atom
energy relative to the lowest polymorph listed for this composition = 200 meV per atom

a b c (Å): 5.6344 5.6344 4.6302
angles (deg): 90.00 90.00 90.00
Fractional coordinates of all 5 atoms:
Tl  0.0000  0.0000  0.0000
As  0.5000  0.5000  0.5000
Rh  0.5000  0.5000  0.0000
Br  0.0000  0.5000  0.5000
Br  0.5000  0.0000  0.5000

***

Density functional theory data (PBE) for a relaxed structure of CaIn2Ag4.

Properties
size of the total moment = 0.00 Bohr magnetons per cell
space-group type = No. 139
formation energy from the elements = 0.189 eV/atom
Fermi-level density of states = 0.3956 states/eV per atom
energy relative to the lowest polymorph listed for this composition = 322 meV per atom

a b c (Å): 6.6703 6.6703 6.6703
angles (deg): 101.02 101.02 128.15
Fractional coordinates of all 7 atoms:
Ca  0.0000  0.0000  0.0000
In  0.2500  0.7500  0.5000
In  0.7500  0.2500  0.5000
Ag  0.2772  0.5000  0.7772
Ag  0.5000  0.2772  0.7772
Ag  0.5000  0.7228  0.2228
Ag  0.7228  0.5000  0.2228

***

Density functional theory data (PBE) for a relaxed structure of NdSiRh3.

Properties
size of the total moment = 0.00 Bohr magnetons per cell
uncorrected formation energy = -0.661 eV per atom
space-group type = No. 221
Fermi-level density of states = 0.0746 states/eV per atom

a b c (Å): 4.5047 4.5047 4.5047
angles (deg): 90.00 90.00 90.00
Fractional coordinates of all 5 atoms:
Nd  0.0000  0.0000  0.0000
Si  0.5000  0.5000  0.5000
Rh  0.0000  0.5000  0.5000
Rh  0.5000  0.0000  0.5000
Rh  0.5000  0.5000  0.0000

***

Density functional theory data (PBE) for a relaxed structure of Ti2Al5Ga2.

Properties
size of the total moment = 0.00 Bohr magnetons per cell
space-group type = No. 46
formation energy from the elements = -0.064 eV/atom
Fermi-level density of states = 0.6148 states/eV per atom

a b c (Å): 7.8930 7.8930 7.8930
angles (deg): 82.04 121.27 128.27
Fractional coordinates of all 18 atoms:
Ti  0.0000  0.0000  0.0000
Ti  0.0000  0.5000  0.5000
Ti  0.0261  0.2270  0.2991
Ti  0.9279  0.7270  0.7009
Al  0.0380  0.1718  0.6736
Al  0.0380  0.8644  0.3661
Al  0.1854  0.4344  0.0182
Al  0.1854  0.6672  0.2510
Al  0.4162  0.1672  0.9818
Al  0.4162  0.9344  0.7490
Al  0.4305  0.2853  0.6452
Al  0.4982  0.3644  0.3264
Al  0.4982  0.6718  0.6339
Al  0.6402  0.7853  0.3548
Ga  0.5814  0.0724  0.3162
Ga  0.5814  0.7652  0.0090
Ga  0.7561  0.2652  0.6838
Ga  0.7561  0.5724  0.9910

***

Density functional theory data (PBE) for a relaxed structure of HfSc2Au4.

Properties
size of the total moment = 0.00 Bohr magnetons per cell
space-group type = No. 166
formation energy from the elements = -0.544 eV/atom
Fermi-level density of states = 0.7181 states/eV per atom

a b c (Å): 8.3439 8.3439 8.3439
angles (deg): 32.84 32.84 32.84
Fractional coordinates of all 7 atoms:
Hf  0.0000  0.0000  0.0000
Sc  0.2410  0.2410  0.2410
Sc  0.7590  0.7590  0.7590
Au  0.1207  0.1207  0.1207
Au  0.3645  0.3645  0.3645
Au  0.6355  0.6355  0.6355
Au  0.8793  0.8793  0.8793

***

Number 1: V 40 Å³/cell. Number 2: V 354 Å³/cell. Number 3: V 80 Å³/cell. Number 4: V 550 Å³/cell. Number 5: V 110 Å³/cell. Number 6: V 205 Å³/cell. Number 7: V 407 Å³/cell. Number 8: V 147 Å³/cell. Number 9: V 210 Å³/cell. Number 10: V 91 Å³/cell. Number 11: V 317 Å³/cell. Number 12: V 152 Å³/cell.